26
Lattice="2.800 -4.723 0.000 2.800 4.723 0.000 0.000 0.000 9.227" Properties=species:S:1:pos:R:3 comment="GGA-PBEsol LiMn4O8, optimized geometry" raw_formation_energy_ev_per_atom=-1.716 relative_energy_mev_per_atom=33.5 magmom_total_mub_per_cell=21.99 pbc="T T T"
Li 2.800 3.514 4.614
Li 2.800 -3.514 0.000
Mn 1.402 1.146 6.592
Mn 2.800 3.415 8.676
Mn 1.402 -1.146 1.979
Mn 2.800 1.108 4.084
Mn 2.800 -1.108 8.698
Mn 4.198 1.146 6.592
Mn 2.800 -3.415 4.062
Mn 4.198 -1.146 1.979
O 1.429 2.154 4.963
O 2.800 4.469 1.095
O 2.800 2.572 2.780
O 1.360 0.122 3.409
O 1.360 -0.122 8.023
O 2.800 2.210 7.264
O 2.800 0.185 5.731
O 1.429 -2.154 0.349
O 4.171 2.154 4.963
O 2.800 -0.185 1.118
O 2.800 -2.210 2.650
O 4.239 0.122 3.409
O 4.239 -0.122 8.023
O 2.800 -2.572 7.393
O 2.800 -4.469 5.709
O 4.171 -2.154 0.349

***

24
Lattice="4.798 -4.214 0.000 4.798 4.214 0.000 -0.801 0.000 4.794" Properties=species:S:1:pos:R:3 comment="GGA-PBEsol Li7Mn5O12, optimized geometry" raw_formation_energy_ev_per_atom=-1.920 relative_energy_mev_per_atom=0.0 magmom_total_mub_per_cell=12.00 pbc="T T T"
Li 0.000 0.000 0.000
Li 2.153 1.381 1.165
Li 1.716 0.000 3.624
Li 2.153 -1.381 1.165
Li 6.642 1.381 3.630
Li 7.079 0.000 1.170
Li 6.642 -1.381 3.630
Mn 4.398 2.839 2.397
Mn 4.798 1.429 0.000
Mn 4.398 0.000 2.397
Mn 4.798 -1.429 0.000
Mn 4.398 -2.839 2.397
O 3.592 2.720 0.667
O 0.797 0.000 1.864
O 3.217 1.408 3.024
O 5.204 2.720 4.127
O 3.612 0.000 0.605
O 5.578 1.408 1.770
O 3.217 -1.408 3.024
O 5.183 0.000 4.189
O 3.592 -2.720 0.667
O 5.578 -1.408 1.770
O 7.998 0.000 2.930
O 5.204 -2.720 4.127

***

56
Lattice="7.907 0.000 0.000 -2.263 8.007 0.000 -0.044 -0.098 10.217" Properties=species:S:1:pos:R:3 comment="GGA-PBEsol Li3MnP2O8, optimized geometry" raw_formation_energy_ev_per_atom=-2.192 relative_energy_mev_per_atom=26.1 magmom_total_mub_per_cell=16.00 pbc="T T T"
Li 0.000 0.000 0.000
Li 6.749 3.935 6.552
Li 0.027 0.387 5.162
Li 0.098 3.125 3.996
Li 0.195 3.551 9.395
Li -0.887 7.455 7.355
Li -0.551 7.557 2.590
Li 1.152 5.077 2.215
Li 3.397 7.298 9.166
Li 4.542 3.351 7.527
Li 6.471 0.922 2.094
Li 5.327 4.902 4.299
Mn 2.785 1.094 9.277
Mn 1.708 5.059 7.416
Mn 2.742 7.379 4.110
Mn 4.018 3.337 2.226
P 0.011 6.072 4.903
P 1.293 2.135 1.536
P 1.565 2.564 6.632
P 0.510 6.621 10.039
P 5.124 1.819 4.949
P 4.033 5.845 1.527
P 4.452 6.245 6.610
P 5.620 2.228 9.920
O -0.622 4.676 4.729
O 0.537 0.802 1.766
O -0.944 7.157 4.418
O 0.554 3.290 2.196
O -0.619 7.486 9.335
O 0.545 3.508 7.416
O 0.975 2.122 5.319
O 0.185 6.372 1.239
O 1.418 2.258 10.215
O 0.404 6.260 6.398
O 1.992 1.363 7.482
O 0.894 5.398 9.193
O 1.317 6.111 3.997
O 2.736 1.959 2.142
O 2.730 3.629 6.569
O 1.658 7.690 9.941
O 2.908 4.746 1.403
O 4.049 0.689 5.091
O 4.195 2.254 9.162
O 3.128 6.261 7.512
O 3.516 7.032 2.387
O 4.663 2.987 4.049
O 4.008 6.168 5.118
O 5.364 2.301 1.243
O 4.546 6.391 0.226
O 5.662 2.347 6.249
O 5.060 4.972 2.342
O 6.210 0.957 4.141
O 6.398 0.952 9.625
O 5.272 5.014 6.945
O 6.270 3.494 9.429
O 5.195 7.549 6.876

***

26
Lattice="4.620 -3.962 0.000 4.620 3.962 0.000 -4.212 0.000 7.930" Properties=species:S:1:pos:R:3 comment="GGA-PBEsol Li2MnP2O8, optimized geometry" raw_formation_energy_ev_per_atom=-2.150 relative_energy_mev_per_atom=0.0 magmom_total_mub_per_cell=6.00 pbc="T T T"
Li -0.608 2.217 7.838
Li 3.530 2.217 4.057
Li 1.498 -2.217 3.873
Li 5.636 -2.217 0.092
Mn 1.461 1.210 5.947
Mn 3.567 -1.210 1.982
P 1.055 0.461 2.841
P -1.050 -0.461 6.806
P 6.078 0.461 1.124
P 3.972 -0.461 5.089
O 0.142 2.564 6.043
O -1.811 0.765 7.219
O 1.588 1.318 4.046
O 2.780 2.564 5.852
O 0.295 -0.765 3.254
O 2.296 0.130 1.953
O 0.190 -0.130 5.918
O 1.334 1.318 7.849
O 3.694 -1.318 0.081
O 4.838 0.130 2.012
O 2.732 -0.130 5.977
O 4.733 0.765 4.676
O 2.248 -2.564 2.078
O 3.439 -1.318 3.884
O 6.839 -0.765 0.711
O 4.885 -2.564 1.887

***

5
Lattice="3.546 0.000 0.000 0.000 3.546 0.000 0.000 0.000 4.423" Properties=species:S:1:pos:R:3 comment="GGA-PBEsol LiMnPO2, optimized geometry" raw_formation_energy_ev_per_atom=0.212 magmom_total_mub_per_cell=5.06 pbc="T T T"
Li 0.000 0.000 0.000
Mn 1.773 1.773 2.212
P 0.000 0.000 2.212
O 0.000 1.773 0.000
O 1.773 0.000 0.000

***

36
Lattice="5.180 0.000 0.000 0.000 13.216 0.000 -1.396 0.000 7.052" Properties=species:S:1:pos:R:3 comment="GGA-PBEsol LiMnP4O12, optimized geometry" raw_formation_energy_ev_per_atom=-2.085 relative_energy_mev_per_atom=0.0 magmom_total_mub_per_cell=8.00 pbc="T T T"
Li 0.514 0.000 0.769
Li 3.270 6.608 6.283
Mn -0.719 8.870 4.185
Mn 4.504 2.262 2.867
P 0.132 10.360 6.813
P 0.694 1.808 5.705
P 2.023 4.221 2.643
P 1.884 0.424 3.433
P 1.901 7.032 3.619
P 1.762 10.829 4.408
P 3.091 8.416 1.347
P 3.652 3.751 0.239
O -0.412 2.134 4.724
O 0.618 11.407 0.264
O -0.414 9.147 6.060
O 0.554 4.034 2.746
O 0.802 1.051 2.547
O 0.519 7.011 4.157
O 0.888 9.763 3.782
O 0.326 1.046 6.908
O 1.299 12.175 3.691
O 1.918 7.660 2.155
O 1.302 11.039 5.923
O 2.371 9.801 1.004
O 1.413 3.193 6.048
O 2.482 4.431 1.128
O 1.866 1.052 4.897
O 2.485 5.567 3.360
O 3.458 7.654 0.143
O 2.896 3.155 3.269
O 3.266 0.403 2.895
O 2.982 7.659 4.505
O 3.230 10.642 4.305
O 4.199 2.539 0.992
O 3.166 4.799 6.788
O 4.197 8.742 2.328

***

36
Lattice="7.647 -4.093 0.000 7.647 4.093 0.000 -6.140 0.000 7.633" Properties=species:S:1:pos:R:3 comment="GGA-PBEsol LiMnP4O12, optimized geometry" raw_formation_energy_ev_per_atom=-2.021 relative_energy_mev_per_atom=63.8 magmom_total_mub_per_cell=8.00 pbc="T T T"
Li 3.043 2.134 5.724
Li 6.112 -2.134 1.908
Mn 6.112 2.536 1.908
Mn 3.043 -2.536 5.724
P 1.416 0.481 1.046
P 3.493 1.576 2.752
P -1.654 -0.481 4.862
P 8.732 1.576 1.064
P 0.423 -1.576 6.568
P 10.808 0.481 2.771
P 5.662 -1.576 4.881
P 7.739 -0.481 6.587
O -4.629 0.316 7.151
O -1.887 1.000 5.452
O 1.050 2.661 6.007
O -1.559 -0.316 3.335
O 2.936 0.770 1.485
O 2.752 1.325 3.992
O 1.183 -1.000 1.635
O 5.035 2.661 5.442
O 5.007 1.281 2.707
O -0.134 -0.770 5.301
O 7.218 1.281 1.109
O 3.333 1.325 7.457
O 5.822 -1.325 0.175
O 1.937 -1.281 6.523
O 9.289 0.770 2.332
O 4.148 -1.281 4.926
O 4.120 -2.661 2.191
O 7.972 1.000 5.997
O 6.403 -1.325 3.641
O 6.219 -0.770 6.148
O 10.714 0.316 4.298
O 8.105 -2.661 1.625
O 11.042 -1.000 2.181
O 13.783 -0.316 0.481

***

30
Lattice="4.854 0.000 0.000 0.000 10.104 0.000 -2.136 0.000 6.526" Properties=species:S:1:pos:R:3 comment="GGA-PBEsol LiMn2P2O10, optimized geometry" raw_formation_energy_ev_per_atom=-1.872 relative_energy_mev_per_atom=27.6 magmom_total_mub_per_cell=10.00 pbc="T T T"
Li 0.425 0.000 0.535
Li 2.294 5.052 5.992
Mn -0.595 5.405 3.740
Mn -0.161 6.789 6.058
Mn 2.880 1.737 0.468
Mn 3.313 0.353 2.786
P -0.353 7.598 1.466
P 1.704 4.537 1.842
P 1.014 9.589 4.685
P 3.072 2.547 5.061
O -1.486 6.500 4.912
O -1.182 3.918 4.756
O 0.036 6.840 2.749
O -0.845 1.674 5.919
O 0.922 7.964 0.648
O -0.016 0.251 3.850
O 0.446 4.223 2.669
O 1.258 5.386 0.612
O 0.409 8.291 5.204
O 0.694 5.632 4.965
O 2.024 0.580 1.562
O 2.310 3.239 1.322
O 1.460 0.334 5.914
O 2.273 9.275 3.858
O 2.735 5.303 2.676
O 1.797 2.912 5.878
O 3.563 6.726 0.607
O 2.683 1.788 3.777
O 3.900 8.969 1.770
O 4.205 1.448 1.614